This record from the Alexandria database describes an optimized crystal structure of ZrAgRu2N. The functional is GGA-PBE.

a = 4.1028 Å, b = 4.1028 Å, c = 4.3978 Å
α = 90.00°, β = 90.00°, γ = 90.00°
Space group P4/mmm (No. 123)
Symmetry-distinct sites (fractional):
Zr  0.0000  0.0000  0.0000 (multiplicity 1)
Ag  0.5000  0.5000  0.0000 (multiplicity 1)
Ru  0.0000  0.5000  0.5000 (multiplicity 2)
N  0.5000  0.5000  0.5000 (multiplicity 1)

- raw total energy (eV per atom) = -7.4610
- N(E_F) (states/eV/cell) = 1.3
- energy relative to the elements, uncorrected (meV/atom) = 194.3